1.
VASP calculation (PBE) on a geometry-optimized HoCr2GeC structure.

Results
Calculated formation energy ... -0.141 eV/atom

Cell and atoms, written as POSCAR:
```
HoCr2GeC
1.0
-1.147 -2.992 4.301
1.347 -4.303 -2.634
4.502 2.695 3.076
Cr C Ge Ho
4 2 2 2
Cartesian
1.028 -3.283 -2.010 Cr
0.319 -1.020 -0.624 Cr
0.454 -4.779 0.141 Cr
-0.255 -2.515 1.526 Cr
-0.263 -2.181 3.429 C
4.965 -2.419 1.314 C
2.840 -1.855 4.483 Ge
1.861 -2.745 0.260 Ge
2.379 -4.126 2.781 Ho
2.322 -0.474 1.962 Ho
```

---

2.
VASP calculation (PBE) on a geometry-optimized La6Tb2DyY structure.

Results
Calculated formation energy ... 0.114 eV/atom

Cell and atoms, written as POSCAR:
```
La6Tb2DyY
1.0
9.057 -1.396 -1.449
1.254 8.812 -1.871
1.254 -2.196 8.737
La Dy Y Tb
12 2 2 4
Cartesian
2.226 5.345 2.224 La
4.809 3.894 0.718 La
3.490 2.238 7.154 La
9.338 -0.125 3.194 La
6.513 5.947 -1.797 La
5.051 -0.727 7.214 La
8.018 6.368 1.777 La
3.546 -1.148 3.640 La
9.579 6.538 -1.183 La
8.074 2.982 -1.737 La
6.755 1.326 4.700 La
1.985 -1.318 6.600 La
8.046 2.929 1.703 Dy
3.518 2.291 3.714 Dy
8.046 -2.410 6.848 Y
3.518 7.630 -1.430 Y
10.352 3.147 4.260 Tb
1.212 2.073 1.157 Tb
5.824 4.839 4.027 Tb
5.740 0.381 1.390 Tb
```

---

3.
VASP calculation (PBE) on a geometry-optimized Be4Ag2Au5 structure.

Results
Calculated formation energy ... 0.072 eV/atom

Cell and atoms, written as POSCAR:
```
Be4Ag2Au5
1.0
-1.658 -4.223 3.018
4.464 -3.012 3.157
1.783 0.803 7.022
Au Be Ag
5 4 2
Cartesian
2.732 -0.716 7.881 Au
2.685 -3.608 3.810 Au
3.124 -1.104 5.090 Au
1.905 -2.824 9.387 Au
1.857 -5.715 5.316 Au
3.228 -4.766 9.860 Be
1.361 -1.665 3.336 Be
0.883 -2.140 7.328 Be
3.707 -4.292 5.869 Be
0.043 -3.225 5.347 Ag
4.547 -3.206 7.849 Ag
```

---

4.
VASP calculation (PBE) on a geometry-optimized CuTcNi2Ir structure.

Results
Calculated formation energy ... 1.438 eV/atom

Cell and atoms, written as POSCAR:
```
CuTcNi2Ir
1.0
4.158 0.000 0.000
0.000 4.421 0.000
0.000 0.000 4.158
Cu Ni Ir Tc
1 2 1 1
Cartesian
0.000 0.000 0.000 Cu
2.079 0.000 0.000 Ni
0.000 0.000 2.079 Ni
2.079 2.210 2.079 Ir
0.000 2.210 0.000 Tc
```

---

5.
VASP calculation (PBE) on a geometry-optimized LaMg2OsSe structure.

Results
E_form (uncorrected) ... 1565 meV/atom

Cell and atoms, written as POSCAR:
```
LaMg2OsSe
1.0
-3.647 -5.172 -0.865
3.115 -1.487 -4.243
3.776 -3.321 3.937
La Mg Os Se
1 2 1 1
Cartesian
0.000 0.000 0.000 La
-1.823 -2.586 -0.433 Mg
1.888 -1.661 1.968 Mg
1.623 -4.990 -0.585 Os
1.558 -0.744 -2.121 Se
```

---

6.
VASP calculation (PBE) on a geometry-optimized Na2EuCl structure.

Results
E_form (uncorrected) ... -760 meV/atom

Cell and atoms, written as POSCAR:
```
Na2EuCl
1.0
-2.478 3.019 0.160
-3.831 -0.638 0.441
-0.994 1.167 10.370
Cl Eu Na
1 1 2
Cartesian
0.000 0.000 0.000 Cl
-3.652 1.774 5.485 Eu
-5.386 2.691 9.068 Na
-1.918 0.856 1.903 Na
```

---

7.
VASP calculation (PBE) on a geometry-optimized Hf5InBi2 structure.

Results
Calculated formation energy ... 0.275 eV/atom

Cell and atoms, written as POSCAR:
```
Hf5InBi2
1.0
5.033 0.000 0.000
-2.516 6.927 0.000
0.000 0.000 12.577
Bi Hf In
4 10 2
Cartesian
0.000 1.376 7.690 Bi
2.516 5.551 1.401 Bi
2.516 5.551 4.887 Bi
0.000 1.376 11.176 Bi
2.516 2.656 12.479 Hf
0.000 4.173 9.433 Hf
0.000 4.270 6.191 Hf
2.516 2.754 3.144 Hf
0.000 1.610 1.657 Hf
0.000 1.610 4.632 Hf
2.516 5.317 7.945 Hf
2.516 2.656 6.386 Hf
2.516 5.317 10.921 Hf
0.000 4.270 0.098 Hf
0.000 4.425 3.144 In
2.516 2.502 9.433 In
```

---

8.
VASP calculation (PBE) on a geometry-optimized LaTl3Sb2Te6 structure.

Results
E_form (uncorrected) ... -525 meV/atom

Cell and atoms, written as POSCAR:
```
LaTl3Sb2Te6
1.0
-4.981 1.002 6.053
1.442 -7.267 -2.749
7.270 1.351 4.036
Te Sb Tl La
6 2 3 1
Cartesian
-1.013 -4.258 3.260 Te
4.123 -5.094 4.127 Te
1.906 -2.241 7.164 Te
-0.391 0.179 3.213 Te
1.825 -2.674 0.176 Te
4.745 -0.657 4.080 Te
-0.701 -4.508 0.188 Sb
-2.838 -1.757 3.116 Sb
-0.301 0.333 6.640 Tl
4.033 -5.248 0.700 Tl
1.866 -2.457 3.670 Tl
0.000 0.000 0.000 La
```